No. 1
DFT (PBE-GGA) results for crystalline ErNbIrRu at its relaxed geometry.

abc: 4.6387 4.6387 4.6387
angles: 60.00 60.00 60.00
Element x y z (fractional)
Er: 0.0000 0.0000 0.0000
Nb: 0.5000 0.5000 0.5000
Ir: 0.2500 0.2500 0.2500
Ru: 0.7500 0.7500 0.7500

Values from the calculation:
Crystal system: cubic
Space-group type: F-43m, No. 216
M_tot (μB/f.u.): 0.0
ρ (g/cm³): 13.02
Formation energy from the elements (eV/f.u.): -1.64

***

No. 2
DFT (PBE-GGA) results for crystalline ErNbTcIr at its relaxed geometry.

abc: 4.6367 4.6367 4.6367
angles: 60.00 60.00 60.00
Element x y z (fractional)
Er: 0.0000 0.0000 0.0000
Nb: 0.5000 0.5000 0.5000
Tc: 0.2500 0.2500 0.2500
Ir: 0.7500 0.7500 0.7500

Values from the calculation:
Crystal system: cubic
Space-group type: F-43m, No. 216
M_tot (μB/f.u.): 0.0
ρ (g/cm³): 12.97
Formation energy from the elements (eV/f.u.): -1.61

***

Q: Which of these has the lowest formation energy from the elements?
A: ErNbIrRu